Computed, not measured: an optimized crystal structure of Li at the GGA-PBEsol level of DFT. Values from VASP.

The structure in Quantum ESPRESSO input format:
```
&SYSTEM
  ibrav = 0, nat = 2, ntyp = 1
/
ATOMIC_SPECIES
Li 6.94 Li.upf
CELL_PARAMETERS angstrom
0.000 2.498 5.281
1.522 0.000 5.281
1.522 2.498 0.000
ATOMIC_POSITIONS angstrom
Li 1.522 2.498 1.374
Li 1.522 2.498 9.189
```

Results
Density of states at the Fermi level, states/eV per cell: 0.97
Space-group type: Fmmm (69)
Electronic total energy, eV per atom: -1.929
Energy of formation, eV/f.u.: 0.0
Relative energy among the computed polymorphs, meV/atom: 38